First-principles (PBE-GGA) data for an optimized crystal structure of Li3ZrCr2Se6, as listed in Alexandria via LeMat-Bulk.

Values from the calculation:
Total magnetization   6.63 μB/cell
Space group   C2/m, No. 12
Calculated density   4.881 g/cm³
Calculated volume   234.68 Å³ per cell
ΔE_f (raw)   -974 meV/atom

a b c (Å): 6.503 6.503 6.767
angles (deg): 99.23 99.23 120.02
Last column: magnetic moment on the atom in μB.
Positions (direct):
Cr  0.667  0.333  0.000  3.17
Cr  0.333  0.667  0.000  3.17
Se  0.079  0.425  0.235  -0.05
Se  0.267  0.267  0.763  -0.05
Se  0.733  0.733  0.237  -0.05
Se  0.575  0.921  0.765  -0.05
Se  0.425  0.079  0.235  -0.05
Se  0.921  0.575  0.765  -0.05
Li  0.835  0.165  0.500  0.01
Li  0.165  0.835  0.500  0.01
Li  0.500  0.500  0.500  0.00
Zr  0.000  0.000  0.000  0.05